A plane-wave DFT calculation with PBE was carried out for an optimized crystal structure of La8Er2Cd.

Cell lengths 9.6360, 9.6360, 8.1836 Å; angles 104.77, 104.77, 30.83 degrees
Atoms (fractional coordinates):
La 0.0455 0.0455 0.2282
La 0.1375 0.1375 0.6807
La 0.3230 0.3230 0.5899
La 0.4078 0.4078 0.0479
La 0.5922 0.5922 0.9521
La 0.6770 0.6770 0.4101
La 0.8625 0.8625 0.3193
La 0.9545 0.9545 0.7718
Er 0.2266 0.2266 0.1346
Er 0.7734 0.7734 0.8654
Cd 0.5000 0.5000 0.5000

Calculated values
The density of states at the Fermi level comes out at 16.51 states/eV/f.u. As for the energy relative to the elements: -27.0 meV/atom. The symmetry is C2/m, No. 12. As for the magnetization: 0.00 μB per formula unit.